First-principles (PBE with a Hubbard U) data for crystalline Rb2CoRhF6 at its relaxed geometry, as listed in Alexandria.

Values from the calculation:
E ... -4.59 eV per atom
Total magnetic moment ... 4.0 μB/f.u.
Calculated volume ... 156.6 Å³ per cell

a = 5.9411 Å, b = 5.9411 Å, c = 6.1103 Å
α = 60.91°, β = 60.91°, γ = 90.00°
With the nearest neighbours (Å) after each atom.
Atoms (fractional coordinates):
F: 0.2468 0.2468 0.0000  1 Rh 2.07, 1 Co 2.13
F: 0.2468 0.7532 0.0000  1 Rh 2.07, 1 Co 2.13
F: 0.7532 0.2468 0.0000  1 Rh 2.07, 1 Co 2.13
F: 0.7229 0.7229 0.5542  1 Co 1.98
F: 0.2771 0.2771 0.4458  1 Co 1.98
F: 0.7532 0.7532 0.0000  1 Rh 2.07, 1 Co 2.13
Rb: 0.2500 0.7500 0.5000  12 F 2.98-3.06
Rb: 0.7500 0.2500 0.5000  12 F 2.98-3.06
Rh: 0.0000 0.0000 0.0000  4 F 2.07
Co: 0.5000 0.5000 0.0000  6 F 1.98-2.13